1.
Material: Nd12HoPb3
Method: DFT, PBE-GGA
State: relaxed

The space group is P4/mmm (No. 123) and the conventional cell measures 5.0111, 5.0111 and 20.4167 Å, with angles of 90.00, 90.00 and 90.00 degrees. The asymmetric unit holds Nd at (0.0000, 0.0000, 0.0000), Nd at (0.0000, 0.0000, 0.2447), Nd at (0.0000, 0.0000, 0.5000), Nd at (0.0000, 0.5000, 0.1221), Nd at (0.0000, 0.5000, 0.3696), Ho at (0.5000, 0.5000, 0.5000), Pb at (0.5000, 0.5000, 0.0000) and Pb at (0.5000, 0.5000, 0.2451).

The density of states at the Fermi level comes out at 1.1400 states/eV per atom. The calculation puts the total energy at -4.797 eV/atom. The value obtained for the energy relative to the elements is -240 meV/atom.


2.
Material: Nd5HoPb4
Method: DFT, PBE-GGA
State: relaxed

The space group is C2/m (No. 12) and the conventional cell measures 16.8313, 5.4882 and 7.3498 Å, with angles of 90.00, 90.69 and 90.00 degrees. The asymmetric unit holds Nd at (0.0000, 0.0000, 0.0000), Nd at (0.1662, 0.5000, 0.9961), Nd at (0.1669, 0.5000, 0.5065), Ho at (0.0000, 0.0000, 0.5000), Pb at (0.0083, 0.5000, 0.2559) and Pb at (0.1738, 0.0000, 0.7479).

The density of states at the Fermi level comes out at 0.7161 states/eV per atom. The calculation puts the total energy at -4.697 eV/atom. The value obtained for the energy relative to the elements is -372 meV/atom.


3.
Material: Nd3HoPb3
Method: DFT, PBE-GGA
State: relaxed

The space group is C2/m (No. 12) and the conventional cell measures 8.4667, 10.9066 and 9.7633 Å, with angles of 90.00, 90.69 and 90.00 degrees. The asymmetric unit holds Nd at (0.0000, 0.1853, 0.0000), Nd at (0.0000, 0.2303, 0.5000), Nd at (0.0749, 0.5000, 0.8116), Ho at (0.2122, 0.5000, 0.4670), Pb at (0.0376, 0.0000, 0.2658) and Pb at (0.2389, 0.2831, 0.2415).

The density of states at the Fermi level comes out at 1.1126 states/eV per atom. The calculation puts the total energy at -4.650 eV/atom. The value obtained for the energy relative to the elements is -364 meV/atom.


4.
Material: NdHoPb
Method: DFT, PBE-GGA
State: relaxed

The space group is I4mm (No. 107) and the conventional cell measures 4.1732, 4.1732 and 10.2100 Å, with angles of 90.00, 90.00 and 90.00 degrees. The asymmetric unit holds Nd at (0.0000, 0.0000, 0.0000), Ho at (0.0000, 0.0000, 0.6832) and Pb at (0.0000, 0.0000, 0.3353).

The energy above the most stable polymorph in this dataset comes out at 177 meV per atom. The density of states at the Fermi level comes out at 1.4436 states/eV per atom. The calculation puts the total energy at -4.632 eV/atom. The value obtained for the energy relative to the elements is -281 meV/atom.


5.
Material: Nd2HoPb3
Method: DFT, PBE-GGA
State: relaxed

The space group is C2/c (No. 15) and the conventional cell measures 9.5432, 14.6138 and 5.9150 Å, with angles of 90.00, 116.06 and 90.00 degrees. The asymmetric unit holds Nd at (0.0000, 0.0822, 0.2500), Nd at (0.0000, 0.2476, 0.7500), Ho at (0.0000, 0.4156, 0.2500), Pb at (0.2429, 0.4191, 0.0072) and Pb at (0.2500, 0.2500, 0.5000).

The energy above the most stable polymorph in this dataset comes out at 18 meV per atom. The density of states at the Fermi level comes out at 0.8210 states/eV per atom. The calculation puts the total energy at -4.672 eV/atom. The value obtained for the energy relative to the elements is -466 meV/atom.


6.
Material: Nd3HoPb5
Method: DFT, PBE-GGA
State: relaxed

The space group is P6_3/mcm (No. 193) and the conventional cell measures 9.7186, 9.7186 and 6.6277 Å, with angles of 90.00, 90.00 and 120.00 degrees. The asymmetric unit holds Nd at (0.0000, 0.3821, 0.2500), Ho at (0.0000, 0.0000, 0.0000), Pb at (0.0000, 0.2823, 0.7500) and Pb at (0.3333, 0.6667, 0.0000).

The density of states at the Fermi level comes out at 0.9926 states/eV per atom. The calculation puts the total energy at -4.636 eV/atom. The value obtained for the energy relative to the elements is -478 meV/atom.


7.
Material: NdHoPb
Method: DFT, PBE-GGA
State: relaxed

The space group is P6_3/mmc (No. 194) and the conventional cell measures 5.5339, 5.5339 and 6.6634 Å, with angles of 90.00, 90.00 and 120.00 degrees. The asymmetric unit holds Nd at (0.0000, 0.0000, 0.0000), Ho at (0.3333, 0.6667, 0.2500) and Pb at (0.3333, 0.6667, 0.7500).

The energy above the most stable polymorph in this dataset comes out at 40 meV per atom. The density of states at the Fermi level comes out at 1.2813 states/eV per atom. The calculation puts the total energy at -4.770 eV/atom. The value obtained for the energy relative to the elements is -418 meV/atom.


8.
Material: Nd2HoPb2
Method: DFT, PBE-GGA
State: relaxed

The space group is P4/mbm (No. 127) and the conventional cell measures 8.2819, 8.2819 and 4.5844 Å, with angles of 90.00, 90.00 and 90.00 degrees. The asymmetric unit holds Nd at (0.1684, 0.3316, 0.0000), Ho at (0.0000, 0.0000, 0.5000) and Pb at (0.1365, 0.6365, 0.5000).

The energy above the most stable polymorph in this dataset comes out at 0 meV per atom. The density of states at the Fermi level comes out at 0.9184 states/eV per atom. The calculation puts the total energy at -4.826 eV/atom. The value obtained for the energy relative to the elements is -520 meV/atom.